{"formula": "Ho6Ir2Pb", "functional": "PBE", "state": "optimized geometry", "sg": "Immm, No. 71", "magmom_total_mub_per_cell": 0.000, "total_energy_ev_per_cell": -109.1, "formation_enthalpy_0k_ev_per_atom": -0.630, "cell": [[-5.777, 5.755, 2.469], [0.942, -6.381, 5.566], [7.727, 3.544, -0.571]], "species": ["Pb", "Ho", "Ir", "Ir", "Ho", "Ho", "Ho", "Pb", "Ho", "Ho", "Ho", "Ho", "Ho", "Ho", "Ir", "Ir", "Ho", "Ho"], "frac_coords": [[0.000, 0.000, 0.000], [0.789, 0.762, 0.551], [0.664, 0.000, 0.664], [0.500, 0.631, 0.131], [0.894, 0.713, 0.182], [0.469, 0.287, 0.182], [0.690, 0.358, 0.668], [0.000, 0.500, 0.500], [0.310, 0.978, 0.668], [0.310, 0.642, 0.332], [0.690, 0.022, 0.332], [0.211, 0.762, 0.973], [0.531, 0.713, 0.818], [0.789, 0.238, 0.027], [0.500, 0.369, 0.869], [0.336, 0.000, 0.336], [0.106, 0.287, 0.818], [0.211, 0.238, 0.449]]}

***

{"formula": "Ho11Ir4Pb9", "functional": "PBE", "state": "optimized geometry", "sg": "Cmmm, No. 65", "magmom_total_mub_per_cell": 0.001, "total_energy_ev_per_cell": -133.0, "formation_enthalpy_0k_ev_per_atom": -0.575, "cell": [[-2.477, -1.786, 2.120], [9.078, -9.375, 2.711], [0.340, 9.992, 8.815]], "species": ["Pb", "Pb", "Ho", "Ho", "Ho", "Ir", "Pb", "Ho", "Ho", "Ho", "Ho", "Ho", "Pb", "Ho", "Pb", "Ir", "Pb", "Ho", "Ir", "Ir", "Pb", "Pb", "Pb", "Ho"], "frac_coords": [[0.500, 0.217, 0.068], [0.500, 0.932, 0.783], [0.000, 0.086, 0.419], [0.000, 0.000, 0.000], [0.000, 0.840, 0.160], [0.500, 0.451, 0.248], [0.500, 0.783, 0.932], [0.000, 0.419, 0.086], [0.000, 0.914, 0.581], [0.000, 0.581, 0.914], [0.000, 0.313, 0.313], [0.000, 0.687, 0.687], [0.500, 0.146, 0.630], [0.000, 0.373, 0.627], [0.500, 0.068, 0.217], [0.500, 0.549, 0.752], [0.500, 0.370, 0.854], [0.000, 0.627, 0.373], [0.500, 0.248, 0.451], [0.500, 0.752, 0.549], [0.500, 0.854, 0.370], [0.500, 0.500, 0.500], [0.500, 0.630, 0.146], [0.000, 0.160, 0.840]]}

***

{"formula": "Ho4Ir2Pb5", "functional": "PBE", "state": "optimized geometry", "sg": "P2/m, No. 10", "magmom_total_mub_per_cell": 0.000, "total_energy_ev_per_cell": -60.6, "formation_enthalpy_0k_ev_per_atom": -0.546, "cell": [[-0.146, -0.421, -3.589], [3.121, -7.417, 0.742], [-9.322, -3.132, 0.746]], "species": ["Pb", "Pb", "Ho", "Ho", "Ho", "Ir", "Pb", "Ho", "Pb", "Pb", "Ir"], "frac_coords": [[0.000, 0.857, 0.866], [0.000, 0.500, 0.000], [0.500, 0.804, 0.162], [0.500, 0.804, 0.567], [0.500, 0.196, 0.433], [0.000, 0.917, 0.364], [0.000, 0.143, 0.134], [0.500, 0.196, 0.838], [0.000, 0.461, 0.662], [0.000, 0.539, 0.338], [0.000, 0.083, 0.636]]}

***

{"formula": "HoIr4Pb", "functional": "PBE", "state": "optimized geometry", "sg": "F-43m, No. 216", "magmom_total_mub_per_cell": 0.000, "total_energy_ev_per_cell": -45.3, "formation_enthalpy_0k_ev_per_atom": -0.269, "cell": [[-0.482, -5.337, -0.368], [1.300, -3.109, 4.183], [-3.847, -2.545, 2.753]], "species": ["Pb", "Ir", "Ho", "Ir", "Ir", "Ir"], "frac_coords": [[0.000, 0.000, 0.000], [0.625, 0.625, 0.124], [0.250, 0.250, 0.250], [0.625, 0.625, 0.625], [0.124, 0.625, 0.625], [0.625, 0.124, 0.625]]}

***

{"formula": "Ho2IrPb", "functional": "PBE", "state": "optimized geometry", "sg": "P4/mmm, No. 123", "de_polymorph_mev_per_atom": 191, "magmom_total_mub_per_cell": 0.000, "total_energy_ev_per_cell": -23.7, "formation_enthalpy_0k_ev_per_atom": -0.500, "cell": [[-1.862, 0.498, -3.433], [3.493, -2.532, -2.262], [-2.494, -4.116, 0.756]], "species": ["Pb", "Ir", "Ho", "Ho"], "frac_coords": [[0.500, 0.000, 0.000], [0.500, 0.500, 0.500], [0.000, 0.500, 0.000], [0.000, 0.000, 0.500]]}

***

{"formula": "Ho2IrPb", "functional": "PBE", "state": "optimized geometry", "sg": "Fm-3m, No. 225", "de_polymorph_mev_per_atom": 203, "magmom_total_mub_per_cell": 0.000, "total_energy_ev_per_cell": -23.7, "formation_enthalpy_0k_ev_per_atom": -0.489, "cell": [[5.114, 0.000, 0.000], [2.557, 4.429, 0.000], [2.557, 1.476, 4.175]], "species": ["Ho", "Ir", "Ho", "Pb"], "frac_coords": [[0.250, 0.250, 0.250], [0.500, 0.500, 0.500], [0.750, 0.750, 0.750], [0.000, 0.000, 0.000]]}

***

{"formula": "Ho7Ir2Pb2", "functional": "PBE", "state": "optimized geometry", "sg": "Cmmm, No. 65", "magmom_total_mub_per_cell": 0.000, "total_energy_ev_per_cell": -62.6, "formation_enthalpy_0k_ev_per_atom": -0.491, "cell": [[6.794, -0.003, -0.649], [0.003, 7.173, 0.003], [-1.071, -0.002, 6.741]], "species": ["Ho", "Ho", "Ir", "Pb", "Ir", "Pb", "Ho", "Ho", "Ho", "Ho", "Ho"], "frac_coords": [[0.500, 0.241, 0.000], [0.500, 0.759, 0.000], [0.283, 0.000, 0.717], [0.189, 0.500, 0.189], [0.717, 0.000, 0.283], [0.811, 0.500, 0.811], [0.500, 0.770, 0.500], [0.000, 0.241, 0.500], [0.000, 0.759, 0.500], [0.000, 0.000, 0.000], [0.500, 0.230, 0.500]]}

***

{"formula": "Ho6IrPb", "functional": "PBE", "state": "optimized geometry", "sg": "P-1, No. 2", "magmom_total_mub_per_cell": 0.000, "total_energy_ev_per_cell": -41.5, "formation_enthalpy_0k_ev_per_atom": -0.180, "cell": [[-0.225, 3.970, 5.577], [-1.109, -2.807, 6.163], [5.948, -0.383, 4.703]], "species": ["Ho", "Ho", "Ir", "Pb", "Ho", "Ho", "Ho", "Ho"], "frac_coords": [[0.582, 0.216, 0.241], [0.038, 0.418, 0.759], [0.000, 0.000, 0.000], [0.500, 0.500, 0.500], [0.418, 0.784, 0.759], [0.216, 0.963, 0.241], [0.784, 0.037, 0.759], [0.962, 0.582, 0.241]]}

***

{"formula": "Ho3IrPb2", "functional": "PBE", "state": "optimized geometry", "sg": "Pnma, No. 62", "de_polymorph_mev_per_atom": 0, "magmom_total_mub_per_cell": 0.000, "total_energy_ev_per_cell": -134.2, "formation_enthalpy_0k_ev_per_atom": -0.588, "cell": [[-2.279, 2.856, 2.448], [-9.528, -2.093, -6.428], [-3.239, -9.294, 7.826]], "species": ["Pb", "Ir", "Ho", "Ho", "Ir", "Pb", "Ho", "Ho", "Pb", "Pb", "Ir", "Ho", "Ho", "Pb", "Pb", "Ho", "Ho", "Pb", "Ir", "Ho", "Pb", "Ho", "Ho", "Ho"], "frac_coords": [[0.250, 0.698, 0.517], [0.750, 0.869, 0.877], [0.250, 0.132, 0.556], [0.250, 0.368, 0.056], [0.250, 0.131, 0.123], [0.750, 0.502, 0.184], [0.750, 0.868, 0.444], [0.750, 0.538, 0.617], [0.250, 0.002, 0.316], [0.250, 0.498, 0.816], [0.250, 0.369, 0.623], [0.750, 0.288, 0.747], [0.250, 0.462, 0.383], [0.750, 0.302, 0.483], [0.750, 0.998, 0.684], [0.250, 0.038, 0.883], [0.250, 0.788, 0.753], [0.750, 0.198, 0.983], [0.750, 0.631, 0.377], [0.750, 0.962, 0.117], [0.250, 0.802, 0.017], [0.750, 0.632, 0.944], [0.250, 0.712, 0.253], [0.750, 0.212, 0.247]]}

***

{"formula": "Ho4IrPb", "functional": "PBE", "state": "optimized geometry", "sg": "C2/c, No. 15", "magmom_total_mub_per_cell": 0.000, "total_energy_ev_per_cell": -68.5, "formation_enthalpy_0k_ev_per_atom": -0.565, "cell": [[6.040, -0.373, 0.000], [-2.018, 8.359, 0.000], [-2.011, -3.993, 6.742]], "species": ["Ho", "Ir", "Pb", "Ho", "Pb", "Ho", "Ho", "Ho", "Ho", "Ho", "Ir", "Ho"], "frac_coords": [[0.626, 0.058, 0.338], [0.251, 0.001, 0.001], [0.379, 0.629, 0.258], [0.212, 0.280, 0.338], [0.621, 0.371, 0.742], [0.694, 0.351, 0.141], [0.948, 0.790, 0.141], [0.306, 0.649, 0.859], [0.052, 0.210, 0.859], [0.788, 0.720, 0.662], [0.749, 0.999, 0.999], [0.374, 0.942, 0.662]]}

***

{"formula": "Ho8Ir2Pb", "functional": "PBE", "state": "optimized geometry", "sg": "C2/m, No. 12", "magmom_total_mub_per_cell": 0.003, "total_energy_ev_per_cell": -63.1, "formation_enthalpy_0k_ev_per_atom": -0.458, "cell": [[5.417, 0.174, -0.831], [-1.723, 7.101, -2.982], [0.176, -0.070, 7.890]], "species": ["Ho", "Ho", "Ho", "Ir", "Pb", "Ir", "Ho", "Ho", "Ho", "Ho", "Ho"], "frac_coords": [[0.580, 0.075, 0.335], [0.420, 0.932, 0.671], [0.203, 0.395, 0.395], [0.500, 0.312, 0.694], [0.999, 0.003, 0.003], [0.500, 0.694, 0.312], [0.420, 0.671, 0.932], [0.000, 0.252, 0.754], [0.000, 0.754, 0.252], [0.797, 0.611, 0.611], [0.580, 0.335, 0.075]]}

***

{"formula": "Ho4Ir2Pb", "functional": "PBE", "state": "optimized geometry", "sg": "Fddd, No. 70", "magmom_total_mub_per_cell": 0.000, "total_energy_ev_per_cell": -86.7, "formation_enthalpy_0k_ev_per_atom": -0.519, "cell": [[-6.035, 0.044, 5.246], [3.441, -7.218, 0.077], [5.376, 5.583, 2.015]], "species": ["Ho", "Ir", "Ho", "Ho", "Pb", "Ir", "Ho", "Pb", "Ho", "Ho", "Ho", "Ir", "Ir", "Ho"], "frac_coords": [[0.478, 0.659, 0.820], [0.125, 0.375, 0.750], [0.342, 0.161, 0.820], [0.772, 0.091, 0.680], [0.250, 0.750, 0.500], [0.625, 0.375, 0.250], [0.839, 0.658, 0.180], [0.000, 0.000, 0.000], [0.341, 0.522, 0.180], [0.909, 0.228, 0.320], [0.908, 0.589, 0.680], [0.625, 0.875, 0.250], [0.625, 0.375, 0.750], [0.411, 0.092, 0.320]]}